# Sr4Ti3MoO12 GGA+U relaxed
data_Sr4Ti3MoO12
_chemical_formula_sum 'Sr8 Ti6 Mo2 O24'
_symmetry_space_group_name_H-M 'I m -3 m'
_symmetry_Int_Tables_number 229
_symmetry_space_group_name_Hall '-I 4 2 3'
_cell_length_a 7.951
_cell_length_b 7.951
_cell_length_c 7.951
_cell_angle_alpha 90.00
_cell_angle_beta 90.00
_cell_angle_gamma 90.00
loop_
_atom_site_label
_atom_site_type_symbol
_atom_site_fract_x
_atom_site_fract_y
_atom_site_fract_z
Sr1 Sr 0.250 0.250 0.250
Ti1 Ti 0.000 0.000 0.500
Mo1 Mo 0.000 0.000 0.000
O1 O 0.000 0.000 0.254
O2 O 0.000 0.250 0.500
# Final energy ... -309.87 eV/cell
# Total moment ... 4.0 Bohr magnetons per cell